Record 1
The following is a DFT calculation (PBE) of a relaxed GaSb2W crystal.

Lattice parameters (Å, degrees): 3.0401 3.0401 34.1128 90.00 90.00 120.00
Space group R-3m (No. 166, hexagonal axes)
One atom of each set of equivalent atoms:
Ga (0.0000, 0.0000, 0.0000) x3
Sb (0.0000, 0.0000, 0.4173) x6
W (0.0000, 0.0000, 0.5000) x3

Total DFT energy (no corrections) in eV/atom: -5.3103
Raw formation energy in eV/atom: 0.746

---

Record 2
The following is a DFT calculation (PBE) of a relaxed SrOs3Ru crystal.

Lattice parameters (Å, degrees): 4.695 4.695 4.695 90.00 90.00 90.00
Space group Pm-3m (No. 221)
One atom of each set of equivalent atoms:
Sr (0.000, 0.000, 0.000) x1
Os (0.000, 0.000, 0.500) x3
Ru (0.500, 0.500, 0.500) x1

Total DFT energy (no corrections) in eV/atom: -4.9840
Formation energy from the elements in eV per atom: 3.95
Offset from the most stable computed form in meV/atom: 2362

---

Record 3
The following is a DFT calculation (PBE) of a relaxed CsLiTl2Se2 crystal.

Lattice parameters (Å, degrees): 4.482 11.463 7.923 90.00 90.00 90.00
Space group Pmc2_1 (No. 26)
One atom of each set of equivalent atoms:
Cs (0.000, 0.028, 0.000) x2
Li (0.500, 0.245, 0.579) x2
Tl (0.000, 0.362, 0.343) x2
Tl (0.500, 0.379, 0.955) x2
Se (0.000, 0.270, 0.721) x2
Se (0.500, 0.189, 0.270) x2

Total DFT energy (no corrections) in eV/atom: -3.1725
Raw formation energy in eV/atom: -0.761